1.
The following is a DFT calculation (PBE-GGA) of a geometry-optimized VIrSe2 structure.

POSCAR file:
```
VIrSe2
1.0
-7.728 -2.123 2.087
-6.079 -3.878 4.075
-6.708 -0.900 4.773
Se V Ir
2 1 1
direct
0.098 0.098 0.098
0.902 0.902 0.902
0.500 0.500 0.500
0.000 0.000 0.000
```

Energy above the most stable polymorph in this dataset (meV/atom): 0.0
Total moment (μB/cell): 0.33
Uncorrected formation energy (eV per atom): -0.1499
Space group: No. 166
E (eV for the cell shown): -25.5

2.
The following is a DFT calculation (PBE-GGA) of a geometry-optimized ZnSb2 structure.

POSCAR file:
```
ZnSb2
1.0
-5.820 0.307 -3.270
-5.164 -3.623 -2.204
-4.590 0.395 4.282
Sb Zn
4 2
direct
0.655 0.655 0.544
0.346 0.346 0.923
0.654 0.654 0.077
0.345 0.345 0.456
0.999 0.999 0.259
0.001 0.001 0.741
```

Total moment (μB/cell): 0.00
Uncorrected formation energy (eV per atom): 0.1054
Space group: No. 12
E (eV for the cell shown): -18.4

3.
The following is a DFT calculation (PBE-GGA) of a geometry-optimized Zr2NiRhN structure.

POSCAR file:
```
Zr2NiRhN
1.0
4.479 0.000 0.000
0.000 4.479 0.000
0.000 0.000 3.726
Zr Ni N Rh
2 1 1 1
direct
0.500 0.000 0.000
0.000 0.500 0.000
0.000 0.000 0.500
0.000 0.000 0.000
0.500 0.500 0.500
```

Total moment (μB/cell): 0.00
Uncorrected formation energy (eV per atom): -0.8513
Space group: No. 123
E (eV for the cell shown): -42.8

4.
The following is a DFT calculation (PBE-GGA) of a geometry-optimized LaPmPdPt structure.

POSCAR file:
```
LaPmPdPt
1.0
-3.439 1.107 -3.651
-3.972 -3.150 -0.826
-4.749 1.459 1.303
La Pt Pm Pd
1 1 1 1
direct
0.500 0.500 0.500
0.750 0.750 0.750
0.000 0.000 0.000
0.250 0.250 0.250
```

Energy above the most stable polymorph in this dataset (meV/atom): 96.5
ΔE_f (eV per formula unit): -3.672
Total moment (μB/cell): 0.00
Space group: No. 216
E (eV for the cell shown): -24.6

5.
The following is a DFT calculation (PBE-GGA) of a geometry-optimized K2TeS4 structure.

POSCAR file:
```
K2TeS4
1.0
5.163 0.000 0.000
0.000 5.163 0.000
2.582 2.582 7.952
K S Te
2 4 1
direct
0.361 0.361 0.278
0.639 0.639 0.722
0.156 0.156 0.688
0.844 0.844 0.312
0.500 0.000 0.000
0.000 0.500 0.000
0.000 0.000 0.000
```

Energy above the most stable polymorph in this dataset (meV/atom): 231.2
Total moment (μB/cell): 0.95
Uncorrected formation energy (eV per atom): -0.2748
Space group: No. 139
E (eV for the cell shown): -23.8

6.
The following is a DFT calculation (PBE-GGA) of a geometry-optimized Ag6SeOF2 structure.

POSCAR file:
```
Ag6SeOF2
1.0
-5.308 1.445 3.747
3.004 -0.978 4.634
2.996 9.022 -0.038
F Ag Se O
4 12 2 2
direct
0.415 0.506 0.751
0.085 0.006 0.749
0.585 0.494 0.249
0.915 0.994 0.251
0.447 0.957 0.730
0.680 0.397 0.931
0.553 0.043 0.270
0.320 0.603 0.069
0.154 0.116 0.100
0.820 0.897 0.569
0.846 0.884 0.900
0.180 0.103 0.431
0.053 0.457 0.770
0.947 0.543 0.230
0.654 0.384 0.600
0.346 0.616 0.400
0.500 0.000 0.000
0.000 0.500 0.500
0.000 0.500 0.000
0.500 0.000 0.500
```

Total moment (μB/cell): 0.00
Uncorrected formation energy (eV per atom): -0.3954
Space group: No. 14
E (eV for the cell shown): -66.5

7.
The following is a DFT calculation (PBE-GGA) of a geometry-optimized Hg2IrSe structure.

POSCAR file:
```
Hg2IrSe
1.0
11.471 0.032 0.019
11.093 2.919 0.019
11.093 1.451 2.533
Se Hg Ir
1 2 1
direct
0.250 0.250 0.250
0.488 0.488 0.488
0.012 0.012 0.012
0.750 0.750 0.750
```

Total moment (μB/cell): 0.00
Uncorrected formation energy (eV per atom): 0.5462
Space group: No. 166
E (eV for the cell shown): -10.8

8.
The following is a DFT calculation (PBE-GGA) of a geometry-optimized KLi2La structure.

POSCAR file:
```
KLi2La
1.0
-6.387 4.520 -5.308
0.848 -6.111 1.017
-3.263 -0.229 1.371
La Li K
1 2 1
direct
0.500 0.500 0.000
0.000 0.000 0.000
0.500 0.000 0.500
0.000 0.500 0.500
```

ΔE_f (eV per formula unit): 1.002
Total moment (μB/cell): 0.00
Space group: No. 12
E (eV for the cell shown): -8.9